Entry 1:
Here is a relaxed Cs2BiS crystal from Alexandria. Energies are from GGA-PBE.

Distance to the lowest polymorph of the same formula (meV per atom): 0
DOS at the Fermi energy (states/eV/cell): 8.84
Final energy (eV/atom): -2.905
Formation energy from raw total energies (eV per atom): -0.476

abc: 12.5055 12.5055 9.2762
angles: 47.62 47.62 90.00
Last column: nearest neighbours and their distance in Å.
Element x y z (fractional)
Cs 0.4678 0.1250 0.2500  2 S 3.41
Cs 0.2822 0.6250 0.2500  2 S 3.41
Cs 0.3750 0.5322 0.7500  2 S 3.41
Cs 0.8750 0.7178 0.7500  2 S 3.41
Bi 0.0000 0.0000 0.0000  2 S 2.80
Bi 0.7500 0.2500 0.5000  2 S 2.80
S 0.2500 0.7500 0.5000  2 Bi 2.80
S 0.5000 0.5000 0.0000  2 Bi 2.80


Entry 2:
Here is a relaxed CsBi2S2 crystal from Alexandria. Energies are from GGA-PBE.

Distance to the lowest polymorph of the same formula (meV per atom): 0
DOS at the Fermi energy (states/eV/cell): 2.57
Final energy (eV/atom): -3.708
Formation energy from raw total energies (eV per atom): -0.334

abc: 5.5941 5.5941 6.5411
angles: 64.68 64.68 90.00
Last column: nearest neighbours and their distance in Å.
Element x y z (fractional)
S 0.2500 0.7500 0.5000  4 Bi 2.96
S 0.7500 0.2500 0.5000  4 Bi 2.96
Cs 0.0000 0.0000 0.0000  2 Bi 3.58, 8 S 3.82
Bi 0.3440 0.3440 0.3120  4 S 2.96, 1 Bi 3.25
Bi 0.6560 0.6560 0.6880  4 S 2.96, 1 Bi 3.25


Entry 3:
Here is a relaxed Cs5BiS5 crystal from Alexandria. Energies are from GGA-PBE.

DOS at the Fermi energy (states/eV/cell): 13.60
Final energy (eV/atom): -3.282
Formation energy from raw total energies (eV per atom): -0.665

abc: 6.5981 8.4968 9.3686
angles: 109.40 90.00 112.85
Last column: nearest neighbours and their distance in Å.
Element x y z (fractional)
Cs 0.3391 0.6781 0.1760  5 S 3.40-3.71
Cs 0.6609 0.3219 0.8240  5 S 3.40-3.71
Cs 0.3032 0.6063 0.7054  4 S 3.31-3.64
Cs 0.6968 0.3937 0.2946  4 S 3.31-3.64
Cs 0.0000 0.0000 0.5000  4 S 3.40
Bi 0.0000 0.0000 0.0000  4 S 2.66-2.70
S 0.5000 0.0000 0.0000  2 Bi 3.30, 4 Cs 3.31-3.47
S 0.1324 0.2647 0.2808  1 Bi 2.70
S 0.1297 0.2595 0.8796  1 Bi 2.66
S 0.8703 0.7405 0.1204  1 Bi 2.66
S 0.8676 0.7353 0.7192  1 Bi 2.70


Entry 4:
Here is a relaxed Cs8Bi3S8 crystal from Alexandria. Energies are from GGA-PBE.

DOS at the Fermi energy (states/eV/cell): 15.13
Final energy (eV/atom): -3.427
Formation energy from raw total energies (eV per atom): -0.717

abc: 7.2134 10.2842 13.3334
angles: 105.07 105.69 90.00
Last column: nearest neighbours and their distance in Å.
Element x y z (fractional)
Cs 0.8033 0.1905 0.6065  5 S 3.50-3.72
Cs 0.3277 0.5160 0.6554  5 S 3.53-3.68
Cs 0.1967 0.8095 0.3935  5 S 3.50-3.72
Cs 0.5900 0.9654 0.1801  5 S 3.50-3.86
Cs 0.6723 0.4840 0.3446  5 S 3.53-3.68
Cs 0.9660 0.7488 0.9319  5 S 3.51-3.72
Cs 0.0340 0.2512 0.0681  5 S 3.51-3.72
Cs 0.4100 0.0346 0.8199  5 S 3.50-3.86
S 0.8208 0.5560 0.6415  1 Bi 2.61
S 0.4652 0.7209 0.9304  1 Bi 2.66
S 0.1792 0.4440 0.3585  1 Bi 2.61
S 0.7131 0.8404 0.4262  1 Bi 2.64
S 0.1008 0.9946 0.2016  1 Bi 2.65
S 0.5348 0.2791 0.0696  1 Bi 2.66
S 0.8992 0.0054 0.7984  1 Bi 2.65
S 0.2869 0.1596 0.5738  1 Bi 2.64
Bi 0.1895 0.1985 0.3789  3 S 2.61-2.65
Bi 0.8105 0.8015 0.6211  3 S 2.61-2.65
Bi 0.5000 0.5000 0.0000  2 S 2.66


Entry 5:
Here is a relaxed Cs2Bi2S5 crystal from Alexandria. Energies are from GGA-PBE.

Final energy (eV/atom): -3.938
Formation energy from raw total energies (eV per atom): -0.593

abc: 5.6071 7.5200 8.7432
angles: 66.91 71.32 68.14
Last column: nearest neighbours and their distance in Å.
Element x y z (fractional)
Bi 0.1284 0.5996 0.1432  5 S 2.68-3.00
Bi 0.8716 0.4004 0.8568  5 S 2.68-3.00
S 0.0714 0.3452 0.5122  1 S 2.11
S 0.6676 0.5395 0.1255  3 Bi 2.69-2.85
S 0.9286 0.6548 0.4878  1 S 2.11
S 0.3324 0.4605 0.8745  3 Bi 2.69-2.85
S 0.0000 0.0000 0.0000  2 Bi 2.68
Cs 0.3737 0.9730 0.2798  7 S 3.60-3.97
Cs 0.6263 0.0270 0.7202  7 S 3.60-3.97


Entry 6:
Here is a relaxed Cs3BiS3 crystal from Alexandria. Energies are from GGA-PBE.

DOS at the Fermi energy (states/eV/cell): 0.00
Final energy (eV/atom): -3.548
Formation energy from raw total energies (eV per atom): -0.859

abc: 8.7113 5.3300 8.7113
angles: 101.77 115.95 101.77
Last column: nearest neighbours and their distance in Å.
Element x y z (fractional)
Cs 0.0000 0.9348 0.4675  4 S 3.41-3.57
Cs 0.4675 0.9348 0.0000  4 S 3.41-3.57
Cs 0.5325 0.4673 0.5325  4 S 3.41-3.57
S 0.7253 0.5308 0.0000  1 Bi 2.57
S 0.0000 0.5308 0.7253  1 Bi 2.57
S 0.2747 0.8054 0.2747  1 Bi 2.57
Bi 0.0000 0.8211 0.0000  3 S 2.57


Entry 7:
Here is a relaxed CsBiS2 crystal from Alexandria. Energies are from GGA-PBE.

DOS at the Fermi energy (states/eV/cell): 0.00
Final energy (eV/atom): -3.995
Formation energy from raw total energies (eV per atom): -0.748

abc: 7.5169 8.1927 9.5948
angles: 90.00 90.00 103.29
Last column: nearest neighbours and their distance in Å.
Element x y z (fractional)
S 0.9602 0.8073 0.2456  2 Bi 2.58-2.79
S 0.4602 0.8073 0.2544  2 Bi 2.58-2.79
S 0.8062 0.3296 0.0913  1 Bi 2.57
S 0.1938 0.6704 0.9087  1 Bi 2.57
S 0.0398 0.1927 0.7544  2 Bi 2.58-2.79
S 0.3062 0.3296 0.4087  1 Bi 2.57
S 0.6938 0.6704 0.5913  1 Bi 2.57
S 0.5398 0.1927 0.7456  2 Bi 2.58-2.79
Bi 0.6373 0.5889 0.3336  3 S 2.57-2.79
Bi 0.1373 0.5889 0.1664  3 S 2.57-2.79
Bi 0.8627 0.4111 0.8336  3 S 2.57-2.79
Bi 0.3627 0.4111 0.6664  3 S 2.57-2.79
Cs 0.2110 0.8675 0.5685  7 S 3.60-3.99
Cs 0.7110 0.8675 0.9315  7 S 3.60-3.99
Cs 0.2890 0.1325 0.0685  7 S 3.60-3.99
Cs 0.7890 0.1325 0.4315  7 S 3.60-3.99


Entry 8:
Here is a relaxed Cs2BiS2 crystal from Alexandria. Energies are from GGA-PBE.

DOS at the Fermi energy (states/eV/cell): 4.22
Final energy (eV/atom): -3.364
Formation energy from raw total energies (eV per atom): -0.596

abc: 8.0023 8.0023 5.4613
angles: 90.00 90.00 90.00
Last column: nearest neighbours and their distance in Å.
Element x y z (fractional)
Cs 0.6516 0.8484 0.5000  2 S 3.33, 1 Cs 3.43
Cs 0.8484 0.3484 0.5000  2 S 3.33, 1 Cs 3.43
Cs 0.3484 0.1516 0.5000  2 S 3.33, 1 Cs 3.43
Cs 0.1516 0.6516 0.5000  2 S 3.33, 1 Cs 3.43
S 0.6808 0.1808 0.0000  2 Bi 2.94
S 0.1808 0.3192 0.0000  2 Bi 2.94
S 0.8192 0.6808 0.0000  2 Bi 2.94
S 0.3192 0.8192 0.0000  2 Bi 2.94
Bi 0.5000 0.5000 0.0000  4 S 2.94
Bi 0.0000 0.0000 0.0000  4 S 2.94


- The highest formation energy from raw total energies belongs to which entry?
  CsBi2S2


Copy entry 6 word for word.
Here is a relaxed Cs3BiS3 crystal from Alexandria. Energies are from GGA-PBE.

DOS at the Fermi energy (states/eV/cell): 0.00
Final energy (eV/atom): -3.548
Formation energy from raw total energies (eV per atom): -0.859

abc: 8.7113 5.3300 8.7113
angles: 101.77 115.95 101.77
Last column: nearest neighbours and their distance in Å.
Element x y z (fractional)
Cs 0.0000 0.9348 0.4675  4 S 3.41-3.57
Cs 0.4675 0.9348 0.0000  4 S 3.41-3.57
Cs 0.5325 0.4673 0.5325  4 S 3.41-3.57
S 0.7253 0.5308 0.0000  1 Bi 2.57
S 0.0000 0.5308 0.7253  1 Bi 2.57
S 0.2747 0.8054 0.2747  1 Bi 2.57
Bi 0.0000 0.8211 0.0000  3 S 2.57


- Number 6 is which compound?
  Cs3BiS3